Record 1
## CuW2Se (PBE)

Data for a relaxed CuW2Se crystal.

Cell: 2.9278 2.9278 25.0300 Å, 90.00 90.00 120.00°
Space group R-3m (No. 166, hexagonal axes)
Unique sites:
1 Cu 0.0000 0.0000 0.0000 (multiplicity 3)
2 W 0.0000 0.0000 0.2481 (multiplicity 6)
3 Se 0.0000 0.0000 0.5000 (multiplicity 3)

Values from the calculation:
The uncorrected formation energy comes out at 0.538 eV per atom. For the calculated volume, the calculation gives 15.48 Å³/atom. The calculation puts the total magnetic moment at 0.000 μB per formula unit.



Record 2
## CuW2Se (PBE)

Data for a relaxed CuW2Se crystal.

Cell: 2.9334 2.9334 26.2865 Å, 90.00 90.00 120.00°
Space group R3m (No. 160, hexagonal axes)
Unique sites:
1 Cu 0.0000 0.0000 0.0000 (multiplicity 3)
2 W 0.0000 0.0000 0.5024 (multiplicity 3)
3 W 0.0000 0.0000 0.7458 (multiplicity 3)
4 Se 0.0000 0.0000 0.2414 (multiplicity 3)

Values from the calculation:
The uncorrected formation energy comes out at 0.388 eV per atom. For the calculated volume, the calculation gives 16.32 Å³/atom. The calculation puts the total magnetic moment at 0.000 μB per formula unit.



Record 3
## Cu2WSe4 (PBE)

Data for a relaxed Cu2WSe4 crystal.

Cell: 5.626 5.626 5.356 Å, 90.00 90.00 90.00°
Space group P-42m (No. 111)
Unique sites:
1 Cu 0.000 0.500 0.000 (multiplicity 2)
2 W 0.000 0.000 0.500 (multiplicity 1)
3 Se 0.251 0.251 0.263 (multiplicity 4)

Values from the calculation:
The uncorrected formation energy comes out at -0.152 eV per atom. For the calculated volume, the calculation gives 24.22 Å³/atom. The calculation puts the total magnetic moment at 0.000 μB per formula unit.



Record 4
## CuW2Se (PBE)

Data for a relaxed CuW2Se crystal.

Cell: 2.998 2.998 6.990 Å, 90.00 90.00 90.00°
Space group P4mm (No. 99)
Unique sites:
1 Cu 0.000 0.000 0.000 (multiplicity 1)
2 W 0.000 0.000 0.478 (multiplicity 1)
3 W 0.500 0.500 0.752 (multiplicity 1)
4 Se 0.500 0.500 0.263 (multiplicity 1)

Values from the calculation:
The uncorrected formation energy comes out at 0.426 eV per atom. For the calculated volume, the calculation gives 15.71 Å³/atom. The calculation puts the total magnetic moment at 0.000 μB per formula unit.



Record 5
## CuW2Se (PBE)

Data for a relaxed CuW2Se crystal.

Cell: 3.017 3.017 6.539 Å, 90.00 90.00 90.00°
Space group P4/mmm (No. 123)
Unique sites:
1 Cu 0.000 0.000 0.000 (multiplicity 1)
2 W 0.500 0.500 0.241 (multiplicity 2)
3 Se 0.000 0.000 0.500 (multiplicity 1)

Values from the calculation:
The uncorrected formation energy comes out at 0.525 eV per atom. For the calculated volume, the calculation gives 14.88 Å³/atom. The calculation puts the total magnetic moment at 0.000 μB per formula unit.



Record 6
## ZrCuW2Se (PBE)

Data for a relaxed ZrCuW2Se crystal.

Cell: 4.550 4.550 4.911 Å, 90.00 90.00 90.00°
Space group P4/mmm (No. 123)
Unique sites:
1 Zr 0.000 0.000 0.000 (multiplicity 1)
2 Cu 0.000 0.000 0.500 (multiplicity 1)
3 W 0.000 0.500 0.500 (multiplicity 2)
4 Se 0.500 0.500 0.000 (multiplicity 1)

Values from the calculation:
The uncorrected formation energy comes out at 1.383 eV per atom. For the calculated volume, the calculation gives 20.33 Å³/atom. The calculation puts the total magnetic moment at 0.000 μB per formula unit.



Record 7
## YCuSe (PBE)

Data for a relaxed YCuSe crystal.

Cell: 3.619 3.619 9.361 Å, 90.00 90.00 90.00°
Space group I4mm (No. 107)
Unique sites:
1 Y 0.000 0.000 0.000 (multiplicity 2)
2 Cu 0.000 0.000 0.669 (multiplicity 2)
3 Se 0.000 0.000 0.321 (multiplicity 2)

Values from the calculation:
The uncorrected formation energy comes out at -0.672 eV per atom. For the calculated volume, the calculation gives 20.43 Å³/atom. The calculation puts the total magnetic moment at 0.000 μB per formula unit.



Record 8
## Y7CuSe5 (PBE)

Data for a relaxed Y7CuSe5 crystal.

Cell: 13.326 4.025 24.316 Å, 90.00 90.01 90.00°
Space group C2/m (No. 12)
Unique sites:
1 Y 0.044 0.000 0.250 (multiplicity 4)
2 Y 0.088 0.500 0.114 (multiplicity 4)
3 Y 0.088 0.500 0.386 (multiplicity 4)
4 Y 0.138 0.000 0.538 (multiplicity 4)
5 Y 0.138 0.000 0.962 (multiplicity 4)
6 Y 0.196 0.500 0.680 (multiplicity 4)
7 Y 0.196 0.500 0.820 (multiplicity 4)
8 Cu 0.200 0.500 0.250 (multiplicity 4)
9 Se 0.000 0.500 0.000 (multiplicity 2)
10 Se 0.000 0.500 0.500 (multiplicity 2)
11 Se 0.053 0.000 0.645 (multiplicity 4)
12 Se 0.053 0.000 0.855 (multiplicity 4)
13 Se 0.222 0.000 0.071 (multiplicity 4)
14 Se 0.222 0.000 0.429 (multiplicity 4)

Values from the calculation:
The uncorrected formation energy comes out at -1.408 eV per atom. For the calculated volume, the calculation gives 25.08 Å³/atom. The calculation puts the total magnetic moment at 0.000 μB per formula unit.